#A
The following is a DFT calculation (PBE) of crystalline HfPaAg at its relaxed geometry.

The structure in POSCAR format:
```
HfPaAg
1.0
0.0000 3.4058 3.4058
3.4058 0.0000 3.4058
3.4058 3.4058 0.0000
Ag Hf Pa
1 1 1
direct
0.2500 0.2500 0.2500
0.7500 0.7500 0.7500
0.0000 0.0000 0.0000
```

***

#B
The following is a DFT calculation (PBE) of crystalline HfPaAg at its relaxed geometry.

The structure in POSCAR format:
```
HfPaAg
1.0
4.5505 -0.4320 1.4597
1.2016 1.1856 4.4916
1.1960 -3.4202 3.1458
Ag Hf Pa
1 1 1
direct
0.0000 0.0000 0.0000
0.2500 0.2500 0.2500
0.7500 0.7500 0.7500
```

***

Unit: meV/atom. Relative energies: #A 378; #B 0.